A relaxed structure of CrPdF2, computed with PBE+U.

## Properties
- density of states at the Fermi level (states/eV per atom) = 1.12
- polymorph energy (0 for the lowest one) (meV/atom) = 0
- total moment (μB/f.u.) = 3.47

Cell lengths 3.1496, 3.1496, 23.3699 Å; angles 90.00, 90.00, 120.00 degrees
Space group R-3m (No. 166, hexagonal axes)
Inequivalent atoms, fractional coordinates:
Cr (0.0000, 0.0000, 0.0000) (multiplicity 3)
Pd (0.0000, 0.0000, 0.5000) (multiplicity 3)
F (0.0000, 0.0000, 0.3775) (multiplicity 6)